# 1
Mg3CdO | Alexandria | GGA-PBE | relaxed; total magnetic moment = 0.00 μB per cell; uncorrected formation energy = -0.927 eV/atom; relative energy among the computed polymorphs = 0.000 eV per atom
1.0
4.367 0.000 0.000
0.000 4.367 0.000
0.000 0.000 4.367
Mg O Cd
3 1 1
Direct
0.000 0.500 0.000
0.000 0.000 0.500
0.500 0.000 0.000
0.000 0.000 0.000
0.500 0.500 0.500

# 2
ZrReAu | Alexandria | GGA-PBE | relaxed; total magnetic moment = 0.00 μB per cell; E_form = 112.4 meV per atom; relative energy among the computed polymorphs = 0.030 eV per atom
1.0
-2.530 1.991 -3.578
1.723 -4.469 -0.468
-2.277 -0.989 1.060
Au Re Zr
1 1 1
Direct
0.000 0.000 0.167
0.333 0.667 0.167
0.667 0.333 0.667

# 3
Ti2TlCuRh | Alexandria | GGA-PBE | relaxed; total magnetic moment = 0.00 μB per cell; E_form = 1449.5 meV per atom
1.0
5.037 0.000 0.000
0.000 4.611 0.000
0.000 0.000 5.037
Tl Rh Cu Ti
1 1 1 2
Direct
0.000 0.000 0.000
0.500 0.500 0.500
0.000 0.500 0.000
0.000 0.000 0.500
0.500 0.000 0.000

# 4
Th4TlTc | Alexandria | GGA-PBE | relaxed; total magnetic moment = 0.00 μB per cell; E_form = 112.4 meV per atom; relative energy among the computed polymorphs = 0.258 eV per atom
1.0
8.729 0.000 0.000
0.000 5.713 0.000
0.000 0.000 6.995
Th Tl Tc
8 2 2
Direct
0.452 0.586 0.000
0.837 0.268 0.000
0.240 0.180 0.760
0.740 0.820 0.740
0.337 0.732 0.500
0.952 0.414 0.500
0.740 0.820 0.260
0.240 0.180 0.240
0.076 0.714 0.000
0.576 0.286 0.500
0.526 0.053 0.000
0.026 0.947 0.500

# 5
BeB | Alexandria | GGA-PBE | relaxed; total magnetic moment = 0.00 μB per cell; E_form = 78.8 meV per atom; relative energy among the computed polymorphs = 0.048 eV per atom
1.0
5.596 0.000 0.000
0.000 3.065 0.000
0.000 0.000 3.466
Be B
4 4
Direct
0.187 0.000 0.000
0.813 0.000 0.000
0.687 0.500 0.500
0.313 0.500 0.500
0.500 0.000 0.746
0.500 0.000 0.254
0.000 0.500 0.246
0.000 0.500 0.754

# 6
Na2LiICl6 | Alexandria | GGA-PBE | relaxed; total magnetic moment = 0.00 μB per cell; uncorrected formation energy = -1.106 eV/atom
1.0
7.753 0.231 0.787
4.040 6.176 0.574
4.607 2.366 6.986
Na Li I Cl
2 1 1 6
Direct
0.523 0.459 0.445
0.990 0.082 0.923
0.814 0.746 0.517
0.312 0.339 0.043
0.706 0.129 0.297
0.238 0.968 0.312
0.921 0.592 0.251
0.399 0.730 0.754
0.686 0.127 0.806
0.072 0.489 0.666

For each record above, in turn, the calculated DFT total energy values are -3.06, -7.98, -4.47, -6.96, -5.12, -2.82 eV per atom.